1.
The following is a DFT calculation (PBE) of crystalline BeAl2Fe at its relaxed geometry.

The structure in POSCAR format:
```
BeAl2Fe
1.0
4.1731 -1.3442 0.0000
4.1731 1.3442 0.0000
-0.8822 0.0000 4.4562
Be Al Fe
1 2 1
direct
0.0000 0.0000 0.0000 Be
0.2487 0.2487 0.7474 Al
0.7513 0.7513 0.2526 Al
0.5000 0.5000 0.5000 Fe
```

Output
**M_tot**: 1.68 μB per cell
**E**: -19.68 eV/cell
**Crystal system**: monoclinic

=====

2.
The following is a DFT calculation (PBE) of crystalline Be4AlFe at its relaxed geometry.

The structure in POSCAR format:
```
Be4AlFe
1.0
0.0000 2.9961 2.9961
2.9961 0.0000 2.9961
2.9961 2.9961 0.0000
Be Al Fe
4 1 1
direct
0.3768 0.3768 0.3768 Be
0.3768 0.3768 0.8696 Be
0.3768 0.8696 0.3768 Be
0.8696 0.3768 0.3768 Be
0.0000 0.0000 0.0000 Al
0.7500 0.7500 0.7500 Fe
```

Output
**M_tot**: 0.74 μB per cell
**E**: -28.60 eV/cell
**Crystal system**: cubic

=====

3.
The following is a DFT calculation (PBE) of crystalline BeAl2Fe at its relaxed geometry.

The structure in POSCAR format:
```
BeAl2Fe
1.0
2.9701 0.0000 0.0000
0.0000 2.9701 0.0000
0.0000 0.0000 5.3716
Be Al Fe
1 2 1
direct
0.0000 0.0000 0.0000 Be
0.5000 0.5000 0.2568 Al
0.5000 0.5000 0.7432 Al
0.0000 0.0000 0.5000 Fe
```

Output
**M_tot**: 0.00 μB per cell
**E**: -20.33 eV/cell
**Crystal system**: tetragonal

=====

4.
The following is a DFT calculation (PBE) of crystalline BeAlFe3 at its relaxed geometry.

The structure in POSCAR format:
```
BeAlFe3
1.0
4.2734 0.0000 0.0000
0.0000 4.2734 0.0000
0.0000 0.0000 4.2734
Be Al Fe
1 1 3
direct
0.0000 0.0000 0.0000 Be
0.5000 0.5000 0.5000 Al
0.0000 0.5000 0.5000 Fe
0.5000 0.0000 0.5000 Fe
0.5000 0.5000 0.0000 Fe
```

Output
**M_tot**: 6.41 μB per cell
**E**: -26.34 eV/cell
**Crystal system**: cubic
**Energy above the lowest structure with this stoichiometry**: 1010 meV/atom

=====

5.
The following is a DFT calculation (PBE) of crystalline BeAl2Fe at its relaxed geometry.

The structure in POSCAR format:
```
BeAl2Fe
1.0
2.7046 0.0000 0.0000
0.0000 3.8696 0.0000
-1.3469 0.0000 4.6772
Be Al Fe
1 2 1
direct
0.0000 0.0000 0.0000 Be
0.3986 0.5000 0.7935 Al
0.7259 0.0000 0.4492 Al
0.1266 0.5000 0.2487 Fe
```

Output
**M_tot**: 1.03 μB per cell
**E**: -20.19 eV/cell
**Crystal system**: monoclinic

=====

6.
The following is a DFT calculation (PBE) of crystalline Be2AlFe2 at its relaxed geometry.

The structure in POSCAR format:
```
Be2AlFe2
1.0
6.2988 0.0000 0.0000
0.0000 6.2988 0.0000
0.0000 0.0000 2.6979
Be Al Fe
4 2 4
direct
0.1664 0.3336 0.0000 Be
0.3336 0.8336 0.0000 Be
0.6664 0.1664 0.0000 Be
0.8336 0.6664 0.0000 Be
0.0000 0.0000 0.5000 Al
0.5000 0.5000 0.5000 Al
0.1287 0.6287 0.5000 Fe
0.3713 0.1287 0.5000 Fe
0.6287 0.8713 0.5000 Fe
0.8713 0.3713 0.5000 Fe
```

Output
**M_tot**: 5.87 μB per cell
**E**: -56.17 eV/cell
**Crystal system**: tetragonal
**Energy above the lowest structure with this stoichiometry**: 286 meV/atom

=====

7.
The following is a DFT calculation (PBE) of crystalline BeAl2Fe at its relaxed geometry.

The structure in POSCAR format:
```
BeAl2Fe
1.0
-1.8211 1.8211 3.6590
1.8211 -1.8211 3.6590
1.8211 1.8211 -3.6590
Be Al Fe
1 2 1
direct
0.0000 0.0000 0.0000 Be
0.2500 0.7500 0.5000 Al
0.7500 0.2500 0.5000 Al
0.5000 0.5000 0.0000 Fe
```

Output
**M_tot**: 1.37 μB per cell
**E**: -20.25 eV/cell
**Crystal system**: tetragonal

=====

8.
The following is a DFT calculation (PBE) of crystalline BeAl2Fe2 at its relaxed geometry.

The structure in POSCAR format:
```
BeAl2Fe2
1.0
6.4586 0.0000 0.0000
0.0000 6.4586 0.0000
0.0000 0.0000 2.9415
Be Al Fe
2 4 4
direct
0.0000 0.0000 0.0000 Be
0.5000 0.5000 0.0000 Be
0.1381 0.3619 0.0000 Al
0.3619 0.8619 0.0000 Al
0.6381 0.1381 0.0000 Al
0.8619 0.6381 0.0000 Al
0.1631 0.6631 0.5000 Fe
0.3369 0.1631 0.5000 Fe
0.6631 0.8369 0.5000 Fe
0.8369 0.3369 0.5000 Fe
```

Output
**M_tot**: 4.27 μB per cell
**E**: -55.86 eV/cell
**Crystal system**: tetragonal
**Energy above the lowest structure with this stoichiometry**: 251 meV/atom